1.
{
  "formula": "Nb3GaS",
  "functional": "PBE",
  "state": "optimized geometry",
  "formation_energy_uncorrected_kj_per_mol_atoms": -44,
  "final_energy_ev_per_atom": -7.93,
  "lattice_angstrom": [[3.549, -0.400, 0.000], [-1.159, 5.667, 0.000], [0.000, 0.000, 8.767]],
  "species": ["Nb", "Nb", "Nb", "Nb", "Nb", "Nb", "Ga", "Ga", "S", "S"],
  "fractional_positions": [[0.853, 0.706, 0.547], [0.147, 0.294, 0.453], [0.147, 0.294, 0.047], [0.853, 0.706, 0.953], [0.423, 0.846, 0.250], [0.577, 0.154, 0.750], [0.746, 0.492, 0.250], [0.254, 0.508, 0.750], [0.500, 0.000, 0.000], [0.500, 0.000, 0.500]]
}

=====

2.
{
  "formula": "NbGa3S",
  "functional": "PBE",
  "state": "optimized geometry",
  "formation_energy_uncorrected_kj_per_mol_atoms": 73,
  "final_energy_ev_per_atom": -3.90,
  "lattice_angstrom": [[4.655, 0.000, 0.000], [0.000, 4.655, 0.000], [0.000, 0.000, 4.655]],
  "species": ["Nb", "S", "Ga", "Ga", "Ga"],
  "fractional_positions": [[0.500, 0.500, 0.500], [0.000, 0.000, 0.000], [0.000, 0.500, 0.000], [0.000, 0.000, 0.500], [0.500, 0.000, 0.000]]
}

=====

3.
{
  "formula": "NbGaS4",
  "functional": "PBE",
  "state": "optimized geometry",
  "formation_energy_uncorrected_kj_per_mol_atoms": -62,
  "final_energy_ev_per_atom": -5.58,
  "lattice_angstrom": [[5.732, 0.000, 0.000], [0.000, 5.732, 0.000], [-2.866, -2.866, 5.026]],
  "species": ["Nb", "Ga", "S", "S", "S", "S"],
  "fractional_positions": [[0.500, 0.500, 0.000], [0.750, 0.250, 0.500], [0.398, 0.875, 0.248], [0.850, 0.373, 0.248], [0.125, 0.150, 0.752], [0.627, 0.602, 0.752]]
}

=====

4.
{
  "formula": "Nb6Ga2S",
  "functional": "PBE",
  "state": "optimized geometry",
  "formation_energy_uncorrected_kj_per_mol_atoms": -28,
  "final_energy_ev_per_atom": -8.14,
  "lattice_angstrom": [[5.607, 0.000, 0.228], [0.000, 6.839, 0.000], [-0.399, 0.000, 8.277]],
  "species": ["Nb", "Nb", "Nb", "Nb", "Nb", "Nb", "Nb", "Nb", "Nb", "Nb", "Nb", "Nb", "Ga", "Ga", "Ga", "Ga", "S", "S"],
  "fractional_positions": [[0.907, 0.995, 0.208], [0.844, 0.675, 0.554], [0.860, 0.684, 0.945], [0.640, 0.184, 0.555], [0.656, 0.175, 0.946], [0.593, 0.495, 0.292], [0.093, 0.005, 0.792], [0.156, 0.325, 0.446], [0.140, 0.316, 0.055], [0.360, 0.816, 0.445], [0.344, 0.825, 0.054], [0.407, 0.505, 0.708], [0.950, 0.382, 0.750], [0.550, 0.882, 0.750], [0.450, 0.118, 0.250], [0.050, 0.618, 0.250], [0.500, 0.500, 0.000], [0.000, 0.000, 0.500]]
}

=====

5.
{
  "formula": "NbGaS2",
  "functional": "PBE",
  "state": "optimized geometry",
  "formation_energy_uncorrected_kj_per_mol_atoms": -29,
  "final_energy_ev_per_atom": -5.64,
  "lattice_angstrom": [[6.392, 0.000, 0.000], [0.000, 6.392, 0.000], [3.196, 3.196, 5.242]],
  "species": ["Nb", "Nb", "S", "S", "S", "S", "Ga", "Ga"],
  "fractional_positions": [[0.000, 0.000, 0.000], [0.750, 0.250, 0.500], [0.687, 0.125, 0.250], [0.063, 0.625, 0.250], [0.375, 0.313, 0.750], [0.875, 0.937, 0.750], [0.500, 0.500, 0.000], [0.250, 0.750, 0.500]]
}

=====

6.
{
  "formula": "NbGaS",
  "functional": "PBE",
  "state": "optimized geometry",
  "formation_energy_uncorrected_kj_per_mol_atoms": -53,
  "final_energy_ev_per_atom": -6.29,
  "lattice_angstrom": [[3.335, 0.000, 0.000], [1.668, 6.797, 1.845], [1.668, 4.366, 6.122]],
  "species": ["S", "S", "Ga", "Ga", "Nb", "Nb"],
  "fractional_positions": [[0.385, 0.746, 0.484], [0.615, 0.254, 0.516], [0.908, 0.158, 0.026], [0.092, 0.842, 0.974], [0.239, 0.251, 0.272], [0.761, 0.749, 0.728]]
}

=====

7.
{
  "formula": "NbGaS3",
  "functional": "PBE",
  "state": "optimized geometry",
  "formation_energy_uncorrected_kj_per_mol_atoms": 38,
  "final_energy_ev_per_atom": -4.70,
  "lattice_angstrom": [[4.601, 0.000, 0.000], [0.000, 4.601, 0.000], [0.000, 0.000, 4.601]],
  "species": ["Nb", "S", "S", "S", "Ga"],
  "fractional_positions": [[0.500, 0.500, 0.500], [0.000, 0.500, 0.000], [0.000, 0.000, 0.500], [0.500, 0.000, 0.000], [0.000, 0.000, 0.000]]
}

=====

8.
{
  "formula": "NbGaS2",
  "functional": "PBE",
  "state": "optimized geometry",
  "formation_energy_uncorrected_kj_per_mol_atoms": -13,
  "final_energy_ev_per_atom": -5.47,
  "lattice_angstrom": [[1.951, 0.000, 7.701], [-0.976, 1.690, 7.701], [-0.976, -1.690, 7.701]],
  "species": ["Nb", "S", "S", "Ga"],
  "fractional_positions": [[0.000, 0.000, 0.000], [0.896, 0.896, 0.896], [0.104, 0.104, 0.104], [0.500, 0.500, 0.500]]
}

=====

9.
{
  "formula": "Nb6GaS",
  "functional": "PBE",
  "state": "optimized geometry",
  "formation_energy_uncorrected_kj_per_mol_atoms": 7,
  "final_energy_ev_per_atom": -8.37,
  "lattice_angstrom": [[-2.878, 1.897, -4.793], [1.346, -2.196, -5.315], [-3.933, -3.714, -2.742]],
  "species": ["Nb", "Nb", "Nb", "Nb", "Nb", "Nb", "Ga", "S"],
  "fractional_positions": [[0.008, 0.466, 0.753], [0.772, 0.007, 0.754], [0.534, 0.227, 0.247], [0.228, 0.993, 0.246], [0.992, 0.534, 0.247], [0.466, 0.773, 0.753], [0.500, 0.500, 0.500], [0.000, 0.000, 0.000]]
}

=====

10.
{
  "formula": "Nb5GaS",
  "functional": "PBE",
  "state": "optimized geometry",
  "formation_energy_uncorrected_kj_per_mol_atoms": -6,
  "final_energy_ev_per_atom": -8.28,
  "lattice_angstrom": [[5.795, -1.878, -1.310], [0.057, 6.091, -1.310], [0.292, 0.210, 7.076]],
  "species": ["Nb", "Nb", "Nb", "Nb", "Nb", "Nb", "Nb", "Nb", "Nb", "Nb", "Ga", "Ga", "S", "S"],
  "fractional_positions": [[0.894, 0.644, 0.084], [0.195, 0.550, 0.381], [0.644, 0.894, 0.584], [0.828, 0.172, 0.250], [0.450, 0.805, 0.119], [0.550, 0.195, 0.881], [0.172, 0.828, 0.750], [0.356, 0.106, 0.416], [0.805, 0.450, 0.619], [0.106, 0.356, 0.916], [0.549, 0.451, 0.250], [0.451, 0.549, 0.750], [0.000, 0.000, 0.000], [0.000, 0.000, 0.500]]
}

=====

11.
{
  "formula": "Nb3GaS",
  "functional": "PBE",
  "state": "optimized geometry",
  "formation_energy_uncorrected_kj_per_mol_atoms": 10,
  "final_energy_ev_per_atom": -7.37,
  "lattice_angstrom": [[4.575, 0.000, 0.000], [0.000, 4.575, 0.000], [0.000, 0.000, 4.575]],
  "species": ["Nb", "Nb", "Nb", "S", "Ga"],
  "fractional_positions": [[0.000, 0.500, 0.000], [0.000, 0.000, 0.500], [0.500, 0.000, 0.000], [0.000, 0.000, 0.000], [0.500, 0.500, 0.500]]
}

=====

12.
{
  "formula": "NbGaSn2S",
  "functional": "PBE",
  "state": "optimized geometry",
  "formation_energy_uncorrected_kj_per_mol_atoms": 95,
  "final_energy_ev_per_atom": -4.06,
  "lattice_angstrom": [[-1.112, -1.320, -4.966], [-0.567, -4.271, 1.263], [-5.095, 0.940, 0.891]],
  "species": ["S", "Nb", "Sn", "Sn", "Ga"],
  "fractional_positions": [[0.000, 0.500, 0.000], [0.500, 0.500, 0.500], [0.000, 0.000, 0.500], [0.500, 0.000, 0.000], [0.000, 0.000, 0.000]]
}

=====

Q: Which formula does entry 12 have?
A: NbGaSn2S